[1]
# TlCrBi2Au (SCAN, PBEsol geometry)
# VASP energy (eV per atom): -63.065
# Energy of formation from the pure elements (eV per atom): 0.35
# Magnetization (μB/cell): 2.64
# Crystal system: tetragonal
# V (Å³ per cell): 135
data_TlCrBi2Au
_chemical_formula_sum 'Tl1 Cr1 Bi2 Au1'
_cell_length_a 5.103
_cell_length_b 5.103
_cell_length_c 5.170
_cell_angle_alpha 90.00
_cell_angle_beta 90.00
_cell_angle_gamma 90.00
_space_group_name_H-M_alt 'P 4/m m m'
_space_group_IT_number 123
_space_group_name_Hall '-P 4 2'
loop_
_atom_site_label
_atom_site_fract_x
_atom_site_fract_y
_atom_site_fract_z
_atom_site_occupancy
Tl1 0.000 0.000 0.000 1
Cr1 0.500 0.500 0.500 1
Bi1 0.000 0.500 0.500 1
Au1 0.500 0.500 0.000 1

=====

[2]
# CsBi2Au (SCAN, PBEsol geometry)
# VASP energy (eV per atom): -65.723
# Energy of formation from the pure elements (eV per atom): 0.31
# Magnetization (μB/cell): 0.00
# Crystal system: cubic
# V (Å³ per cell): 469
data_CsBi2Au
_chemical_formula_sum 'Cs4 Bi8 Au4'
_cell_length_a 7.769
_cell_length_b 7.769
_cell_length_c 7.769
_cell_angle_alpha 90.00
_cell_angle_beta 90.00
_cell_angle_gamma 90.00
_space_group_name_H-M_alt 'F m -3 m'
_space_group_IT_number 225
_space_group_name_Hall '-F 4 2 3'
loop_
_atom_site_label
_atom_site_fract_x
_atom_site_fract_y
_atom_site_fract_z
_atom_site_occupancy
Cs1 0.000 0.000 0.000 1
Bi1 0.250 0.250 0.250 1
Au1 0.000 0.000 0.500 1

=====

[3]
# Cs2BiAuI6 (SCAN, PBEsol geometry)
# VASP energy (eV per atom): -45.230
# Magnetization (μB/cell): 0.00
# Crystal system: cubic
# Formation energy from raw total energies (eV per atom): -0.8493
# V (Å³ per cell): 1683
data_Cs2BiAuI6
_chemical_formula_sum 'Cs8 Bi4 Au4 I24'
_cell_length_a 11.894
_cell_length_b 11.894
_cell_length_c 11.894
_cell_angle_alpha 90.00
_cell_angle_beta 90.00
_cell_angle_gamma 90.00
_space_group_name_H-M_alt 'F m -3 m'
_space_group_IT_number 225
_space_group_name_Hall '-F 4 2 3'
loop_
_atom_site_label
_atom_site_fract_x
_atom_site_fract_y
_atom_site_fract_z
_atom_site_occupancy
Cs1 0.250 0.250 0.250 1
Bi1 0.000 0.000 0.000 1
Au1 0.000 0.000 0.500 1
I1 0.000 0.000 0.257 1

=====

[4]
# CsInBi2Au (SCAN, PBEsol geometry)
# VASP energy (eV per atom): -58.206
# Energy of formation from the pure elements (eV per atom): 1.30
# Magnetization (μB/cell): 0.00
# Crystal system: tetragonal
# V (Å³ per cell): 221
data_CsInBi2Au
_chemical_formula_sum 'Cs1 In1 Bi2 Au1'
_cell_length_a 6.244
_cell_length_b 6.244
_cell_length_c 5.680
_cell_angle_alpha 90.00
_cell_angle_beta 90.00
_cell_angle_gamma 90.00
_space_group_name_H-M_alt 'P 4/m m m'
_space_group_IT_number 123
_space_group_name_Hall '-P 4 2'
loop_
_atom_site_label
_atom_site_fract_x
_atom_site_fract_y
_atom_site_fract_z
_atom_site_occupancy
Cs1 0.000 0.000 0.000 1
In1 0.500 0.500 0.500 1
Bi1 0.000 0.500 0.000 1
Au1 0.000 0.000 0.500 1

=====

[5]
# CsNiBiAu2 (SCAN, PBEsol geometry)
# VASP energy (eV per atom): -53.526
# Energy of formation from the pure elements (eV per atom): 0.65
# Magnetization (μB/cell): 0.00
# Crystal system: tetragonal
# V (Å³ per cell): 124
data_CsNiBiAu2
_chemical_formula_sum 'Cs1 Ni1 Bi1 Au2'
_cell_length_a 4.997
_cell_length_b 4.997
_cell_length_c 4.965
_cell_angle_alpha 90.00
_cell_angle_beta 90.00
_cell_angle_gamma 90.00
_space_group_name_H-M_alt 'P 4/m m m'
_space_group_IT_number 123
_space_group_name_Hall '-P 4 2'
loop_
_atom_site_label
_atom_site_fract_x
_atom_site_fract_y
_atom_site_fract_z
_atom_site_occupancy
Cs1 0.000 0.000 0.000 1
Ni1 0.000 0.000 0.500 1
Bi1 0.500 0.500 0.000 1
Au1 0.000 0.500 0.500 1

=====

[6]
# Cu2BiAu2 (SCAN, PBEsol geometry)
# VASP energy (eV per atom): -49.343
# Energy of formation from the pure elements (eV per atom): 0.12
# Magnetization (μB/cell): 0.00
# Crystal system: tetragonal
# V (Å³ per cell): 180
data_Cu2BiAu2
_chemical_formula_sum 'Cu4 Bi2 Au4'
_cell_length_a 3.727
_cell_length_b 3.727
_cell_length_c 12.992
_cell_angle_alpha 90.00
_cell_angle_beta 90.00
_cell_angle_gamma 90.00
_space_group_name_H-M_alt 'I 4/m m m'
_space_group_IT_number 139
_space_group_name_Hall '-I 4 2'
loop_
_atom_site_label
_atom_site_fract_x
_atom_site_fract_y
_atom_site_fract_z
_atom_site_occupancy
Cu1 0.000 0.500 0.250 1
Bi1 0.000 0.000 0.000 1
Au1 0.000 0.000 0.388 1

=====

[7]
# Dy5BiAu2 (SCAN, PBEsol geometry)
# VASP energy (eV per atom): -57.886
# Energy of formation from the pure elements (eV per atom): -0.90
# Magnetization (μB/cell): 0.00
# Crystal system: tetragonal
# V (Å³ per cell): 828
data_Dy5BiAu2
_chemical_formula_sum 'Dy20 Bi4 Au8'
_cell_length_a 8.005
_cell_length_b 8.005
_cell_length_c 12.919
_cell_angle_alpha 90.00
_cell_angle_beta 90.00
_cell_angle_gamma 90.00
_space_group_name_H-M_alt 'I 4/m c m'
_space_group_IT_number 140
_space_group_name_Hall '-I 4 2c'
loop_
_atom_site_label
_atom_site_fract_x
_atom_site_fract_y
_atom_site_fract_z
_atom_site_occupancy
Dy1 0.000 0.000 0.000 1
Dy2 0.155 0.345 0.141 1
Bi1 0.000 0.000 0.250 1
Au1 0.137 0.363 0.500 1

=====

[8]
# EuBiAu (SCAN, PBEsol geometry)
# VASP energy (eV per atom): -68.035
# Energy of formation from the pure elements (eV per atom): -0.89
# Magnetization (μB/cell): 14.03
# Crystal system: hexagonal
# V (Å³ per cell): 157
data_EuBiAu
_chemical_formula_sum 'Eu2 Bi2 Au2'
_cell_length_a 4.8344
_cell_length_b 4.8344
_cell_length_c 7.7493
_cell_angle_alpha 90.00
_cell_angle_beta 90.00
_cell_angle_gamma 120.00
_space_group_name_H-M_alt 'P 63 m c'
_space_group_IT_number 186
_space_group_name_Hall 'P 6c -2c'
loop_
_atom_site_label
_atom_site_fract_x
_atom_site_fract_y
_atom_site_fract_z
_atom_site_occupancy
Eu1 0.0000 0.0000 0.0000 1
Bi1 0.3333 0.6667 0.2769 1
Au1 0.3333 0.6667 0.6859 1

=====

[9]
# BiTe2AuF (SCAN, PBEsol geometry)
# VASP energy (eV per atom): -44.866
# Magnetization (μB/cell): 0.00
# Crystal system: tetragonal
# Formation energy from raw total energies (eV per atom): 0.2897
# V (Å³ per cell): 155
data_BiTe2AuF
_chemical_formula_sum 'Bi1 Te2 Au1 F1'
_cell_length_a 5.282
_cell_length_b 5.282
_cell_length_c 5.561
_cell_angle_alpha 90.00
_cell_angle_beta 90.00
_cell_angle_gamma 90.00
_space_group_name_H-M_alt 'P 4/m m m'
_space_group_IT_number 123
_space_group_name_Hall '-P 4 2'
loop_
_atom_site_label
_atom_site_fract_x
_atom_site_fract_y
_atom_site_fract_z
_atom_site_occupancy
Bi1 0.000 0.000 0.000 1
Te1 0.000 0.500 0.500 1
Au1 0.000 0.000 0.500 1
F1 0.500 0.500 0.000 1

=====

[10]
# Fe2BiPAu (SCAN, PBEsol geometry)
# VASP energy (eV per atom): -37.257
# Energy of formation from the pure elements (eV per atom): 1.62
# Magnetization (μB/cell): 5.66
# Crystal system: tetragonal
# V (Å³ per cell): 123
data_Fe2BiPAu
_chemical_formula_sum 'Fe2 Bi1 P1 Au1'
_cell_length_a 4.861
_cell_length_b 4.861
_cell_length_c 5.191
_cell_angle_alpha 90.00
_cell_angle_beta 90.00
_cell_angle_gamma 90.00
_space_group_name_H-M_alt 'P 4/m m m'
_space_group_IT_number 123
_space_group_name_Hall '-P 4 2'
loop_
_atom_site_label
_atom_site_fract_x
_atom_site_fract_y
_atom_site_fract_z
_atom_site_occupancy
Fe1 0.000 0.500 0.000 1
Bi1 0.000 0.000 0.000 1
P1 0.500 0.500 0.500 1
Au1 0.000 0.000 0.500 1

=====

[11]
# GaBi3Au (SCAN, PBEsol geometry)
# VASP energy (eV per atom): -63.468
# Energy of formation from the pure elements (eV per atom): 0.78
# Magnetization (μB/cell): 0.00
# Crystal system: cubic
# V (Å³ per cell): 151
data_GaBi3Au
_chemical_formula_sum 'Ga1 Bi3 Au1'
_cell_length_a 5.328
_cell_length_b 5.328
_cell_length_c 5.328
_cell_angle_alpha 90.00
_cell_angle_beta 90.00
_cell_angle_gamma 90.00
_space_group_name_H-M_alt 'P m -3 m'
_space_group_IT_number 221
_space_group_name_Hall '-P 4 2 3'
loop_
_atom_site_label
_atom_site_fract_x
_atom_site_fract_y
_atom_site_fract_z
_atom_site_occupancy
Ga1 0.000 0.000 0.000 1
Bi1 0.000 0.000 0.500 1
Au1 0.500 0.500 0.500 1

=====

[12]
# Ga2BiAu2 (SCAN, PBEsol geometry)
# VASP energy (eV per atom): -50.061
# Energy of formation from the pure elements (eV per atom): -0.14
# Magnetization (μB/cell): 0.00
# Crystal system: tetragonal
# V (Å³ per cell): 198
data_Ga2BiAu2
_chemical_formula_sum 'Ga4 Bi2 Au4'
_cell_length_a 4.013
_cell_length_b 4.013
_cell_length_c 12.299
_cell_angle_alpha 90.00
_cell_angle_beta 90.00
_cell_angle_gamma 90.00
_space_group_name_H-M_alt 'I 4/m m m'
_space_group_IT_number 139
_space_group_name_Hall '-I 4 2'
loop_
_atom_site_label
_atom_site_fract_x
_atom_site_fract_y
_atom_site_fract_z
_atom_site_occupancy
Ga1 0.000 0.500 0.250 1
Bi1 0.000 0.000 0.000 1
Au1 0.000 0.000 0.387 1

=====

Copy entry 12 word for word.
# Ga2BiAu2 (SCAN, PBEsol geometry)
# VASP energy (eV per atom): -50.061
# Energy of formation from the pure elements (eV per atom): -0.14
# Magnetization (μB/cell): 0.00
# Crystal system: tetragonal
# V (Å³ per cell): 198
data_Ga2BiAu2
_chemical_formula_sum 'Ga4 Bi2 Au4'
_cell_length_a 4.013
_cell_length_b 4.013
_cell_length_c 12.299
_cell_angle_alpha 90.00
_cell_angle_beta 90.00
_cell_angle_gamma 90.00
_space_group_name_H-M_alt 'I 4/m m m'
_space_group_IT_number 139
_space_group_name_Hall '-I 4 2'
loop_
_atom_site_label
_atom_site_fract_x
_atom_site_fract_y
_atom_site_fract_z
_atom_site_occupancy
Ga1 0.000 0.500 0.250 1
Bi1 0.000 0.000 0.000 1
Au1 0.000 0.000 0.387 1